1.
CoIrSN2 | SCAN | PBEsol geometry

## Properties
- raw formation energy (eV per atom) = 1.331
- crystal system = tetragonal

Unit cell a=3.3661 b=3.3661 c=6.4799 alpha=90.00 beta=90.00 gamma=90.00
Closest atoms and distances in Å follow each position.
Sites, in units of the cell vectors:
Co: 0.0000 0.0000 0.0000  4 N 1.68
Ir: 0.5000 0.5000 0.5000  4 S 2.38
S: 0.0000 0.0000 0.5000  4 Ir 2.38
N: 0.0000 0.5000 0.0000  2 Co 1.68
N: 0.5000 0.0000 0.0000  2 Co 1.68


2.
CoIrSe2N | SCAN | PBEsol geometry

## Properties
- raw formation energy (eV per atom) = 0.759
- crystal system = tetragonal

Unit cell a=4.7399 b=4.7399 c=3.2486 alpha=90.00 beta=90.00 gamma=90.00
Closest atoms and distances in Å follow each position.
Sites, in units of the cell vectors:
Co: 0.0000 0.0000 0.0000  2 N 1.62
Ir: 0.5000 0.5000 0.5000  8 Se 2.87
Se: 0.0000 0.5000 0.0000  2 Co 2.37
Se: 0.5000 0.0000 0.0000  2 Co 2.37
N: 0.0000 0.0000 0.5000  2 Co 1.62


3.
CoTeIrN2 | SCAN | PBEsol geometry

## Properties
- raw formation energy (eV per atom) = 1.357
- crystal system = tetragonal

Unit cell a=3.5982 b=3.5982 c=5.5635 alpha=90.00 beta=90.00 gamma=90.00
Closest atoms and distances in Å follow each position.
Sites, in units of the cell vectors:
Co: 0.0000 0.0000 0.0000  4 N 1.80
Te: 0.0000 0.0000 0.5000  4 Ir 2.54, 2 Co 2.78
Ir: 0.5000 0.5000 0.5000  4 Te 2.54
N: 0.0000 0.5000 0.0000  2 Co 1.80
N: 0.5000 0.0000 0.0000  2 Co 1.80


4.
Nb3CoIr | SCAN | PBEsol geometry

## Properties
- formation enthalpy at 0 K (eV per atom) = 0.683
- crystal system = cubic

Unit cell a=4.4609 b=4.4609 c=4.4609 alpha=90.00 beta=90.00 gamma=90.00
Closest atoms and distances in Å follow each position.
Sites, in units of the cell vectors:
Nb: 0.0000 0.0000 0.5000  2 Co 2.23
Nb: 0.0000 0.5000 0.0000  2 Co 2.23
Nb: 0.5000 0.0000 0.0000  2 Co 2.23
Co: 0.0000 0.0000 0.0000  6 Nb 2.23
Ir: 0.5000 0.5000 0.5000  12 Nb 3.15


5.
CoNi2Ir | SCAN | PBEsol geometry

## Properties
- formation enthalpy at 0 K (eV per atom) = 0.019
- crystal system = monoclinic

Unit cell a=8.3617 b=2.5629 c=4.3476 alpha=90.00 beta=100.62 gamma=90.00
Closest atoms and distances in Å follow each position.
Sites, in units of the cell vectors:
Co: 0.0000 0.0000 0.0000  7 Ni 2.49-2.56, 3 Ir 2.52, 2 Co 2.56
Co: 0.5000 0.5000 0.0000  7 Ni 2.49-2.56, 3 Ir 2.52, 2 Co 2.56
Ni: 0.2483 0.5000 0.2511  5 Ni 2.50-2.56, 3 Co 2.51-2.54, 4 Ir 2.52-2.53
Ni: 0.4988 0.0000 0.4907  4 Co 2.49-2.56, 5 Ni 2.50-2.56, 3 Ir 2.55
Ni: 0.7483 0.0000 0.2511  5 Ni 2.50-2.56, 3 Co 2.51-2.54, 4 Ir 2.52-2.53
Ni: 0.9988 0.5000 0.4907  4 Co 2.49-2.56, 5 Ni 2.50-2.56, 3 Ir 2.55
Ir: 0.2502 0.0000 0.7528  3 Co 2.52, 7 Ni 2.52-2.55, 2 Ir 2.56
Ir: 0.7502 0.5000 0.7528  3 Co 2.52, 7 Ni 2.52-2.55, 2 Ir 2.56


6.
CoNi2Ir | SCAN | PBEsol geometry

## Properties
- formation enthalpy at 0 K (eV per atom) = 0.041
- crystal system = orthorhombic

Unit cell a=2.5494 b=3.5682 c=5.0360 alpha=90.00 beta=90.00 gamma=90.00
Closest atoms and distances in Å follow each position.
Sites, in units of the cell vectors:
Co: 0.0000 0.0000 0.0000  8 Ni 2.51, 2 Ir 2.52, 2 Co 2.55
Ni: 0.5000 0.5000 0.2411  4 Ni 2.43-2.61, 4 Co 2.51, 4 Ir 2.55
Ni: 0.5000 0.5000 0.7589  4 Ni 2.43-2.61, 4 Co 2.51, 4 Ir 2.55
Ir: 0.0000 0.0000 0.5000  2 Co 2.52, 2 Ir 2.55, 8 Ni 2.55


7.
CoNi2Ir | SCAN | PBEsol geometry

## Properties
- formation enthalpy at 0 K (eV per atom) = 0.045
- crystal system = orthorhombic

Unit cell a=2.5681 b=3.5220 c=5.0142 alpha=90.00 beta=90.00 gamma=90.00
Closest atoms and distances in Å follow each position.
Sites, in units of the cell vectors:
Co: 0.0000 0.0000 0.0000  6 Ni 2.46-2.56, 4 Ir 2.51, 2 Co 2.57
Ni: 0.0000 0.0000 0.5102  2 Co 2.46-2.56, 6 Ni 2.49-2.57, 4 Ir 2.55
Ni: 0.5000 0.5000 0.7503  6 Ni 2.49-2.57, 2 Ir 2.50-2.52, 4 Co 2.51
Ir: 0.5000 0.5000 0.2480  6 Ni 2.50-2.55, 4 Co 2.51, 2 Ir 2.57


8.
Co2NiIr | SCAN | PBEsol geometry

## Properties
- formation enthalpy at 0 K (eV per atom) = 0.032
- crystal system = monoclinic

Unit cell a=8.3578 b=2.5589 c=4.3558 alpha=90.00 beta=100.81 gamma=90.00
Closest atoms and distances in Å follow each position.
Sites, in units of the cell vectors:
Co: 0.0000 0.0000 0.0000  4 Ni 2.47-2.58, 5 Co 2.48-2.56, 3 Ir 2.52-2.54
Co: 0.2455 0.5000 0.2419  5 Co 2.48-2.56, 3 Ni 2.50-2.51, 4 Ir 2.52-2.53
Co: 0.5000 0.5000 0.0000  4 Ni 2.47-2.58, 5 Co 2.48-2.56, 3 Ir 2.52-2.54
Co: 0.7455 0.0000 0.2419  5 Co 2.48-2.56, 3 Ni 2.50-2.51, 4 Ir 2.52-2.53
Ni: 0.4962 0.0000 0.4833  7 Co 2.47-2.58, 3 Ir 2.53-2.55, 2 Ni 2.56
Ni: 0.9962 0.5000 0.4833  7 Co 2.47-2.58, 3 Ir 2.53-2.55, 2 Ni 2.56
Ir: 0.2497 0.0000 0.7450  7 Co 2.52-2.54, 3 Ni 2.53-2.55, 2 Ir 2.56
Ir: 0.7497 0.5000 0.7450  7 Co 2.52-2.54, 3 Ni 2.53-2.55, 2 Ir 2.56


9.
CoNi2Ir | SCAN | PBEsol geometry

## Properties
- formation enthalpy at 0 K (eV per atom) = -0.002
- crystal system = tetragonal

Unit cell a=3.5558 b=3.5558 c=7.0976 alpha=90.00 beta=90.00 gamma=90.00
Closest atoms and distances in Å follow each position.
Sites, in units of the cell vectors:
Co: 0.0000 0.0000 0.0000  8 Ni 2.51, 4 Ir 2.51
Co: 0.5000 0.5000 0.5000  8 Ni 2.51, 4 Ir 2.51
Ni: 0.0000 0.0000 0.5000  4 Ni 2.51, 4 Ir 2.51, 4 Co 2.51
Ni: 0.0000 0.5000 0.2500  4 Co 2.51, 4 Ni 2.51, 4 Ir 2.51
Ni: 0.5000 0.0000 0.7500  4 Co 2.51, 4 Ni 2.51, 4 Ir 2.51
Ni: 0.5000 0.5000 0.0000  4 Ni 2.51, 4 Ir 2.51, 4 Co 2.51
Ir: 0.0000 0.5000 0.7500  4 Co 2.51, 8 Ni 2.51
Ir: 0.5000 0.0000 0.2500  4 Co 2.51, 8 Ni 2.51


10.
CoNi2Ir | SCAN | PBEsol geometry

## Properties
- formation enthalpy at 0 K (eV per atom) = -0.005
- crystal system = orthorhombic

Unit cell a=5.0345 b=7.1710 c=2.5551 alpha=90.00 beta=90.00 gamma=90.00
Closest atoms and distances in Å follow each position.
Sites, in units of the cell vectors:
Co: 0.0000 0.0000 0.0000  2 Ir 2.52, 8 Ni 2.54, 2 Co 2.56
Co: 0.5000 0.5000 0.0000  2 Ir 2.52, 8 Ni 2.54, 2 Co 2.56
Ni: 0.2500 0.2500 0.5000  4 Ni 2.52-2.56, 4 Co 2.54, 4 Ir 2.54
Ni: 0.2500 0.7500 0.5000  4 Ni 2.52-2.56, 4 Co 2.54, 4 Ir 2.54
Ni: 0.7500 0.2500 0.5000  4 Ni 2.52-2.56, 4 Co 2.54, 4 Ir 2.54
Ni: 0.7500 0.7500 0.5000  4 Ni 2.52-2.56, 4 Co 2.54, 4 Ir 2.54
Ir: 0.0000 0.5000 0.0000  2 Co 2.52, 8 Ni 2.54, 2 Ir 2.56
Ir: 0.5000 0.0000 0.0000  2 Co 2.52, 8 Ni 2.54, 2 Ir 2.56


11.
CoNi2Ir | SCAN | PBEsol geometry

## Properties
- formation enthalpy at 0 K (eV per atom) = 0.018
- crystal system = monoclinic

Unit cell a=8.3779 b=2.5623 c=4.3455 alpha=90.00 beta=100.75 gamma=90.00
Closest atoms and distances in Å follow each position.
Sites, in units of the cell vectors:
Co: 0.0000 0.0000 0.0000  6 Ni 2.50-2.53, 4 Ir 2.52, 2 Co 2.56
Co: 0.5000 0.5000 0.0000  6 Ni 2.50-2.53, 4 Ir 2.52, 2 Co 2.56
Ni: 0.2485 0.5000 0.2437  6 Ni 2.48-2.57, 3 Co 2.50-2.53, 3 Ir 2.54
Ni: 0.2515 0.0000 0.7563  6 Ni 2.48-2.57, 3 Co 2.50-2.53, 3 Ir 2.54
Ni: 0.7485 0.0000 0.2437  6 Ni 2.48-2.57, 3 Co 2.50-2.53, 3 Ir 2.54
Ni: 0.7515 0.5000 0.7563  6 Ni 2.48-2.57, 3 Co 2.50-2.53, 3 Ir 2.54
Ir: 0.0000 0.5000 0.5000  4 Co 2.52, 6 Ni 2.54, 2 Ir 2.56
Ir: 0.5000 0.0000 0.5000  4 Co 2.52, 6 Ni 2.54, 2 Ir 2.56


no.,magnetization (μB per formula unit),energy (eV/cell)
1,0.00,-110.0
2,0.00,-134.1
3,0.00,-137.5
4,0.00,-184.4
5,3.63,-241.3
6,4.25,-120.6
7,3.66,-120.6
8,4.90,-243.5
9,4.11,-241.5
10,3.84,-241.5
11,3.76,-241.4